VASP calculation (PBE) on crystalline YReN3 at its relaxed geometry.

* symmetry: No. 63
* DFT total energy: -45.25 eV per formula unit
* raw formation energy: -0.2719 eV/atom

a b c (Å): 6.4919 6.4919 5.5530
angles (deg): 90.00 90.00 145.18
Sites, in units of the cell vectors:
Y1 0.3841 0.6159 0.2500
Y2 0.6159 0.3841 0.7500
Re1 0.1057 0.8943 0.2500
Re2 0.8943 0.1057 0.7500
N1 0.8918 0.4407 0.2500
N2 0.5593 0.1082 0.2500
N3 0.4407 0.8918 0.7500
N4 0.1082 0.5593 0.7500
N5 0.0000 0.0000 0.0000
N6 0.0000 0.0000 0.5000

=====

VASP calculation (PBE) on crystalline YReN3 at its relaxed geometry.

* symmetry: No. 11
* DFT total energy: -47.15 eV per formula unit
* raw formation energy: -0.6529 eV/atom

a b c (Å): 3.7304 5.6284 7.9057
angles (deg): 110.80 90.00 90.00
Sites, in units of the cell vectors:
Y1 0.2500 0.2048 0.1883
Y2 0.7500 0.7952 0.8117
Re1 0.2500 0.1715 0.6741
Re2 0.7500 0.8285 0.3259
N1 0.2500 0.0851 0.8840
N2 0.7500 0.9149 0.1160
N3 0.2500 0.9661 0.3954
N4 0.7500 0.0339 0.6046
N5 0.2500 0.5053 0.7210
N6 0.7500 0.4947 0.2790

=====

VASP calculation (PBE) on crystalline YReN3 at its relaxed geometry.

* symmetry: No. 2
* DFT total energy: -46.75 eV per formula unit
* raw formation energy: -0.5718 eV/atom

a b c (Å): 6.0749 3.7442 5.8408
angles (deg): 92.63 106.12 101.00
Sites, in units of the cell vectors:
Y1 0.0403 0.2444 0.8872
Y2 0.3736 0.0208 0.4345
Re1 0.5963 0.6051 0.9315
Re2 0.8177 0.6601 0.3902
N1 0.1313 0.7525 0.6634
N2 0.9725 0.7375 0.1420
N3 0.7904 0.1586 0.4534
N4 0.4415 0.5277 0.1797
N5 0.2826 0.5127 0.6583
N6 0.6236 0.1066 0.8684

=====

VASP calculation (PBE) on crystalline YReN3 at its relaxed geometry.

* symmetry: No. 8
* DFT total energy: -46.22 eV per formula unit
* raw formation energy: -0.4655 eV/atom

a b c (Å): 5.8168 3.0537 4.3342
angles (deg): 90.00 110.28 74.78
Sites, in units of the cell vectors:
Y1 0.9158 0.4499 0.0923
Re1 0.3378 0.7389 0.7109
N1 0.3038 0.7559 0.2922
N2 0.5982 0.1087 0.9125
N3 0.0762 0.3698 0.6716

=====

VASP calculation (PBE) on crystalline YReN3 at its relaxed geometry.

* symmetry: No. 1
* DFT total energy: -46.47 eV per formula unit
* raw formation energy: -0.5161 eV/atom

a b c (Å): 6.4051 5.6614 4.1189
angles (deg): 89.95 71.37 70.85
Sites, in units of the cell vectors:
Y1 0.5995 0.3925 0.8506
Y2 0.7619 0.8069 0.2523
Re1 0.1690 0.1783 0.6094
Re2 0.1837 0.6838 0.5159
N1 0.9217 0.5327 0.7161
N2 0.5292 0.5716 0.3885
N3 0.4068 0.0896 0.1442
N4 0.1839 0.6755 0.0766
N5 0.9144 0.0221 0.7098
N6 0.3824 0.0916 0.8479

=====

VASP calculation (PBE) on crystalline YReN3 at its relaxed geometry.

* symmetry: No. 8
* DFT total energy: -46.33 eV per formula unit
* raw formation energy: -0.4877 eV/atom

a b c (Å): 6.1233 3.1859 6.8147
angles (deg): 76.48 113.16 90.00
Sites, in units of the cell vectors:
Y1 0.9735 0.9641 0.8977
Y2 0.4301 0.1819 0.4620
Re1 0.5699 0.4115 0.0031
Re2 0.8286 0.7536 0.3190
N1 0.1785 0.6343 0.5572
N2 0.9552 0.3238 0.1782
N3 0.8125 0.1591 0.5078
N4 0.4482 0.8281 0.1699
N5 0.2213 0.5326 0.7614
N6 0.6521 0.5370 0.7522